Entry 1:
A geometry-optimized SrTlSe2 structure, computed with PBE-GGA.

Cell lengths 5.7989, 5.7989, 6.6265 Å; angles 90.00, 90.00, 90.00 degrees
Space group I4/mmm (No. 139)
Unique sites:
Sr 0.0000 0.0000 0.0000 x2
Tl 0.0000 0.0000 0.5000 x2
Se 0.0000 0.5000 0.2500 x4


Entry 2:
A geometry-optimized SrU3Tl3Se8 structure, computed with PBE-GGA.

Cell lengths 8.4848, 8.4848, 23.0976 Å; angles 90.00, 90.00, 120.00 degrees
Space group R-3m (No. 166, hexagonal axes)
Unique sites:
Sr 0.0000 0.0000 0.0000 x3
U 0.0000 0.5000 0.0000 x9
Tl 0.0000 0.5000 0.5000 x9
Se 0.0000 0.0000 0.2652 x6
Se 0.0240 0.5120 0.2643 x18


Entry 3:
A geometry-optimized SrUTl2Se4 structure, computed with PBE-GGA.

Cell lengths 7.5510, 4.3264, 8.0923 Å; angles 90.00, 107.78, 90.00 degrees
Space group P2/m (No. 10)
Unique sites:
Sr 0.0000 0.0000 0.0000 x1
U 0.5000 0.5000 0.0000 x1
Tl 0.0000 0.5000 0.5000 x1
Tl 0.5000 0.0000 0.5000 x1
Se 0.2654 0.5000 0.2107 x2
Se 0.2866 0.0000 0.7945 x2


Entry 4:
A geometry-optimized Sr2UTl2Se6 structure, computed with PBE-GGA.

Cell lengths 7.6461, 12.9435, 7.9897 Å; angles 90.00, 108.59, 90.00 degrees
Space group C2/m (No. 12)
Unique sites:
Sr 0.0000 0.1657 0.0000 x4
U 0.0000 0.5000 0.0000 x2
Tl 0.0000 0.3309 0.5000 x4
Se 0.2161 0.3526 0.2074 x8
Se 0.2174 0.5000 0.7870 x4


What did we get for uncorrected formation energy? Answer: -0.97; -1.06; -1.11; -1.23 eV/atom, in the order shown.